Record 1
Below is a crystal of CdSe2Cl relaxed with PBEsol, with properties calculated at the meta-GGA SCAN level.

Unit cell a=3.010 b=3.010 c=10.630 alpha=81.86 beta=81.86 gamma=60.00
Positions (direct):
Cl 0.500 0.500 0.500
Se 0.083 0.083 0.752
Cd 0.000 0.000 0.000
Se 0.917 0.917 0.248

Properties
Formation energy (no corrections) ... 360 meV/atom

---

Record 2
Below is a crystal of CdSe2Cl relaxed with PBEsol, with properties calculated at the meta-GGA SCAN level.

Unit cell a=3.048 b=5.164 c=5.164 alpha=90.00 beta=90.00 gamma=90.00
Positions (direct):
Cd 0.500 0.500 0.500
Se 0.000 0.000 0.500
Se 0.000 0.500 0.000
Cl 0.500 0.000 0.000

Properties
Formation energy (no corrections) ... 321 meV/atom

---

Record 3
Below is a crystal of CdSe2Cl relaxed with PBEsol, with properties calculated at the meta-GGA SCAN level.

Unit cell a=4.010 b=4.010 c=6.870 alpha=73.03 beta=73.03 gamma=60.00
Positions (direct):
Cd 0.500 0.500 0.500
Se 0.761 0.761 0.716
Cl 0.000 0.000 0.000
Se 0.239 0.239 0.284

Properties
Formation energy (no corrections) ... 50 meV/atom

---

Record 4
Below is a crystal of CdSiCl2 relaxed with PBEsol, with properties calculated at the meta-GGA SCAN level.

Unit cell a=3.623 b=3.623 c=9.384 alpha=78.87 beta=78.87 gamma=60.00
Positions (direct):
Cl 0.778 0.778 0.667
Cd 0.000 0.000 0.000
Cl 0.222 0.222 0.333
Si 0.500 0.500 0.500

Properties
Formation energy (no corrections) ... -146 meV/atom

---

Q: Look up the formation energy (no corrections) of the fourth one.
A: -146 meV/atom